# 1
Sm4Mg3Bi | PBE | relaxed

```
Sm4Mg3Bi
1.0
5.2386 0.0000 1.5464
2.3911 4.6611 1.5464
0.0474 0.0290 9.4858
Mg Sm Bi
3 4 1
direct
0.7553 0.7553 0.7342
0.2447 0.2447 0.2658
0.5000 0.5000 0.5000
0.3754 0.3754 0.8739
0.8746 0.8746 0.3762
0.6246 0.6246 0.1261
0.1254 0.1254 0.6238
0.0000 0.0000 0.0000
```

Calculated values
ΔE_f ... -0.26 eV/atom
Spin magnetization ... 0.00 Bohr magnetons per cell
Raw total energy ... -3.702 eV/atom
V ... 28.89 Å³ per atom
Calculated density ... 6.3 Mg/m³
DOS(E_F) ... 7.1 states/eV per cell

# 2
SrSi2BOs2 | PBE | relaxed

```
SrSi2BOs2
1.0
-1.9963 -0.3941 -3.6646
2.1916 -3.4777 -0.8199
-3.8727 -3.0143 2.4339
Si Os Sr B
2 2 1 1
direct
0.5000 0.5000 0.7306
0.5000 0.5000 0.2694
0.0000 0.5000 0.0000
0.5000 0.0000 0.0000
0.0000 0.0000 0.5000
0.0000 0.0000 0.0000
```

Calculated values
Spin magnetization ... 0.00 Bohr magnetons per cell
Raw total energy ... -7.301 eV/atom
V ... 16.04 Å³ per atom
Calculated density ... 9.2 Mg/m³
DOS(E_F) ... 2.5 states/eV per cell

# 3
K2SiTc | PBE | relaxed

```
K2SiTc
1.0
3.3851 0.0000 0.0000
0.0000 3.3851 0.0000
0.0000 0.0000 10.2005
K Tc Si
2 1 1
direct
0.0000 0.0000 0.9180
0.5000 0.5000 0.3323
0.5000 0.5000 0.6456
0.0000 0.0000 0.6041
```

Calculated values
Spin magnetization ... 0.00 Bohr magnetons per cell
Raw total energy ... -4.225 eV/atom
V ... 29.22 Å³ per atom
Calculated density ... 2.9 Mg/m³
DOS(E_F) ... 2.0 states/eV per cell

# 4
InAgIrO6 | PBE | relaxed

```
InAgIrO6
1.0
-0.7853 5.0682 -1.8941
-2.6037 -1.6671 4.5092
6.8524 2.9478 5.0466
O In Ir Ag
12 2 2 2
direct
0.3857 0.0350 0.1296
0.9650 0.3507 0.1296
0.3857 0.3507 0.3704
0.6493 0.0350 0.3704
0.0350 0.3857 0.6296
0.6143 0.9650 0.8704
0.3507 0.9650 0.6296
0.3507 0.3857 0.8704
0.6143 0.6493 0.6296
0.0350 0.6493 0.8704
0.6493 0.6143 0.1296
0.9650 0.6143 0.3704
0.6667 0.3333 0.7500
0.3333 0.6667 0.2500
0.6667 0.3333 0.2500
0.3333 0.6667 0.7500
0.0000 0.0000 0.5000
0.0000 0.0000 0.0000
```

Calculated values
Spin magnetization ... 0.00 Bohr magnetons per cell
Raw total energy ... -5.500 eV/atom
V ... 12.95 Å³ per atom
Calculated density ... 7.3 Mg/m³
DOS(E_F) ... 12.4 states/eV per cell

Q: The highest calculated density belongs to which entry?
A: SrSi2BOs2